(1)
BaAg2P (PBE, relaxed); DOS at the Fermi energy = 0.661 states/eV per atom; formation enthalpy at 0 K = -1.0 eV per formula unit
1.0
4.2683 0.0000 0.0000
0.0000 4.2996 0.0000
-2.1140 0.0000 5.8880
Ba Ag P
1 2 1
Direct
0.0000 0.0000 0.0000
0.2439 0.5000 0.4916
0.7220 0.0000 0.4489
0.6124 0.5000 0.2259

***

(2)
Nd5ErTl4 (PBE, relaxed); DOS at the Fermi energy = 0.964 states/eV per atom; relative energy among the computed polymorphs = 259 meV per atom; formation enthalpy at 0 K = -0.3 eV per formula unit
1.0
8.4648 0.0000 0.0000
0.0000 9.3357 0.0000
0.0000 0.0000 8.7400
Nd Er Tl
10 2 8
Direct
0.0114 0.0564 0.2341
0.0114 0.4436 0.2341
0.2500 0.7500 0.1697
0.4886 0.0564 0.2341
0.4886 0.4436 0.2341
0.5114 0.5564 0.7659
0.5114 0.9436 0.7659
0.7500 0.2500 0.8303
0.9886 0.5564 0.7659
0.9886 0.9436 0.7659
0.2500 0.2500 0.5852
0.7500 0.7500 0.4148
0.0833 0.2500 0.9342
0.2500 0.5833 0.5004
0.2500 0.9167 0.5004
0.4167 0.2500 0.9342
0.5833 0.7500 0.0658
0.7500 0.0833 0.4996
0.7500 0.4167 0.4996
0.9167 0.7500 0.0658

***

(3)
TeBr (PBE, relaxed); formation energy (no corrections) = 0.4307 eV/atom; DOS at the Fermi energy = 1.649 states/eV per atom
1.0
-4.8208 4.8208 4.8208
4.8208 -4.8208 4.8208
4.8208 4.8208 -4.8208
Te Br
4 4
Direct
0.0000 0.0000 0.3969
0.0000 0.3969 0.0000
0.3969 0.0000 0.0000
0.6031 0.6031 0.6031
0.0000 0.0000 0.7017
0.0000 0.7017 0.0000
0.2983 0.2983 0.2983
0.7017 0.0000 0.0000

***

(4)
Mg12In2Pb5 (PBE, relaxed); DOS at the Fermi energy = 0.434 states/eV per atom; relative energy among the computed polymorphs = 0 meV per atom; formation enthalpy at 0 K = -0.2 eV per formula unit
1.0
7.2839 -4.4553 0.0000
7.2839 4.4553 0.0000
-0.0382 0.0000 7.4404
Mg In Pb
12 2 5
Direct
0.0541 0.0541 0.1844
0.0872 0.6783 0.1484
0.1619 0.5374 0.7456
0.3217 0.9128 0.8516
0.4092 0.4092 0.3908
0.4626 0.8381 0.2544
0.5374 0.1619 0.7456
0.5908 0.5908 0.6092
0.6783 0.0872 0.1484
0.8381 0.4626 0.2544
0.9128 0.3217 0.8516
0.9459 0.9459 0.8156
0.2010 0.7990 0.5000
0.7990 0.2010 0.5000
0.2000 0.2000 0.5363
0.2584 0.2584 0.0795
0.5000 0.5000 0.0000
0.7416 0.7416 0.9205
0.8000 0.8000 0.4637